# 1
The following is a GGA-PBEsol calculation of a relaxed LaWBr3 crystal, from Alexandria.

Output
**Density of states at the Fermi level**: 6.323 states/eV per cell
**Formation energy (no corrections)**: 1.17 eV per formula unit
**Uncorrected energy**: -4.72 eV per atom

Geometry as POSCAR:
```
LaWBr3
1.0
-2.1025 3.9383 -3.6250
-5.3115 -1.0532 1.9364
0.6622 4.0561 4.0225
Br W La
3 1 1
Cartesian
-2.6558 -0.5266 0.9682
0.3311 2.0281 2.0113
-1.0512 1.9691 -1.8125
-3.3759 3.4706 1.1670
0.0000 0.0000 0.0000
```


# 2
The following is a GGA-PBEsol calculation of a relaxed LaW2Br crystal, from Alexandria.

Output
**Density of states at the Fermi level**: 1.610 states/eV per cell
**Formation energy (no corrections)**: 1.41 eV per formula unit
**Uncorrected energy**: -8.36 eV per atom
**E above lowest polymorph**: 0.00 kcal/mol of atoms

Geometry as POSCAR:
```
LaW2Br
1.0
-0.6624 -2.5462 1.8182
3.4204 -1.3471 2.1721
-0.6430 3.2153 7.0810
Br W La
1 2 1
Cartesian
1.5692 -0.2466 5.8516
2.6493 1.6687 8.9271
0.9043 -0.2208 8.4580
0.8270 -0.3502 2.6234
```


# 3
The following is a GGA-PBEsol calculation of a relaxed LaWBr2 crystal, from Alexandria.

Output
**Density of states at the Fermi level**: 3.508 states/eV per cell
**Formation energy (no corrections)**: 1.12 eV per formula unit
**Uncorrected energy**: -5.44 eV per atom
**E above lowest polymorph**: 0.00 kcal/mol of atoms

Geometry as POSCAR:
```
LaWBr2
1.0
-2.7651 -0.2523 -1.6308
-1.6590 -2.7592 0.0606
-6.1751 1.9873 6.9840
Br W La
2 1 1
Cartesian
-2.4595 -0.3771 1.0495
-8.1397 -0.6470 4.3643
0.0000 0.0000 0.0000
-5.2996 -0.5121 2.7069
```


What is the formula in the first record? LaWBr3


Which value of formation energy (no corrections) does entry 3 give? 1.12 eV per formula unit


What is the formula in the second record? LaW2Br